## RbCaCI2 (PBE)

Data for RbCaCI2 after structural relaxation.

The structure in POSCAR format:
```
RbCaCI2
1.0
5.4735 0.0000 0.0000
0.0000 5.4735 0.0000
0.0000 0.0000 5.4012
I Ca C Rb
2 1 1 1
Direct
0.0000 0.5000 0.0000 I
0.5000 0.0000 0.0000 I
0.5000 0.5000 0.5000 Ca
0.0000 0.0000 0.0000 C
0.0000 0.0000 0.5000 Rb
```

Properties
SG: P4/mmm
ΔE_f (raw) in eV per atom: 0.658

---

## RbAcGe2 (PBE)

Data for RbAcGe2 after structural relaxation.

The structure in POSCAR format:
```
RbAcGe2
1.0
-3.3312 2.2609 -1.5326
0.2517 -2.1527 -3.7229
-4.9159 -5.3654 2.7701
Ac Ge Rb
1 2 1
Direct
0.5000 0.5000 0.0000 Ac
0.0000 0.0000 0.8378 Ge
0.0000 0.0000 0.1622 Ge
0.5000 0.5000 0.5000 Rb
```

Properties
SG: P4/mmm
Formation energy from the elements in eV/atom: -0.323
Energy above the lowest structure with this stoichiometry in meV per atom: 0